1.
{"formula": "Cs2KSCl", "functional": "GGA-PBE", "state": "relaxed", "lattice_angstrom": [[6.6896, 0.0000, 0.0000], [0.0000, 6.6896, 0.0000], [0.0000, 0.0000, 5.9232]], "species": ["Cs", "Cs", "K", "S", "Cl"], "frac_coords": [[0.0000, 0.5000, 0.0000], [0.5000, 0.0000, 0.0000], [0.0000, 0.0000, 0.5000], [0.0000, 0.0000, 0.0000], [0.5000, 0.5000, 0.5000]], "formation_energy_uncorrected_kcal_per_mol_atoms": -28.1, "e_tot_ev_per_atom": -2.973}

---

2.
{"formula": "BaPu2HgO8", "functional": "GGA-PBE", "state": "relaxed", "lattice_angstrom": [[6.0152, 0.0000, 0.0000], [-3.0076, 5.2094, 0.0000], [0.0000, 0.0000, 6.5107]], "species": ["Ba", "Pu", "Pu", "Hg", "O", "O", "O", "O", "O", "O", "O", "O"], "frac_coords": [[0.0000, 0.0000, 0.0000], [0.3333, 0.6667, 0.4330], [0.6667, 0.3333, 0.5670], [0.0000, 0.0000, 0.5000], [0.0591, 0.3811, 0.6466], [0.3219, 0.9409, 0.6466], [0.3333, 0.6667, 0.1411], [0.3811, 0.3219, 0.3534], [0.6189, 0.6781, 0.6466], [0.6667, 0.3333, 0.8589], [0.6781, 0.0591, 0.3534], [0.9409, 0.6189, 0.3534]], "n_ef_per_ev_atom": 0.32, "formation_energy_uncorrected_kcal_per_mol_atoms": -43.6, "e_tot_ev_per_atom": -7.771}

---

- Which formula does entry 1 have?
  Cs2KSCl